! Li3MnB2O6 (GGA+U, relaxed); values from VASP
&SYSTEM
  ibrav = 0, nat = 24, ntyp = 4
/
ATOMIC_SPECIES
O 16.00 O.upf
Li 6.94 Li.upf
B 10.81 B.upf
Mn 54.94 Mn.upf
ATOMIC_POSITIONS angstrom
O 1.650 -0.526 7.286
Li 2.341 -1.681 3.935
O 3.062 -3.025 5.872
B 3.842 -3.588 2.697
O 1.022 -5.025 4.923
O -0.242 -2.379 1.613
Li -1.353 -5.925 1.865
B 4.178 -2.250 5.569
Mn 2.927 -4.738 4.631
O -1.301 -4.137 2.871
Li 0.479 -3.723 3.550
Li 1.567 -3.104 1.150
B -1.022 -1.816 4.788
O 0.367 -1.859 4.542
O 0.307 -6.840 2.046
Li 1.253 -2.300 6.336
O 1.170 -4.878 0.199
B -1.358 -3.154 1.916
O 2.453 -3.545 2.943
O 4.121 -1.267 4.614
O 1.798 -0.379 2.562
Mn -0.107 -0.666 2.854
Li 4.173 0.521 5.621
O 2.513 1.436 5.439
CELL_PARAMETERS angstrom
-3.421 -2.098 3.251
1.997 -5.790 -1.806
4.244 2.484 6.041
! **Symmetry**: P-1 (2)
! **E**: -164.68 eV/cell